1.
! CaCePm2Bi4 (PBE-GGA, optimized geometry); values from VASP
&SYSTEM
  ibrav = 0, nat = 8, ntyp = 4
/
ATOMIC_SPECIES
Ca 40.08 Ca.upf
Ce 140.12 Ce.upf
Pm 145.00 Pm.upf
Bi 208.98 Bi.upf
CELL_PARAMETERS angstrom
-0.432 0.679 4.520
4.419 -6.419 1.386
4.733 6.392 -0.508
ATOMIC_POSITIONS crystal
Ca 0.500 0.500 0.000
Ce 0.000 0.000 0.000
Pm 0.500 0.000 0.500
Pm 0.000 0.500 0.500
Bi 0.500 0.247 0.248
Bi 0.500 0.753 0.752
Bi 0.000 0.246 0.751
Bi 0.000 0.754 0.249
! - Fermi-level density of states: 5.25 states/eV/f.u.
! - ΔE_f: -846.9 meV per atom
! - E: -39.74 eV for the cell shown

***

2.
! TbTm6Te8 (PBE-GGA, optimized geometry); values from VASP
&SYSTEM
  ibrav = 0, nat = 15, ntyp = 3
/
ATOMIC_SPECIES
Tb 158.93 Tb.upf
Tm 168.93 Tm.upf
Te 127.60 Te.upf
CELL_PARAMETERS angstrom
2.863 -2.237 7.769
3.527 -7.724 1.211
8.429 -0.689 1.430
ATOMIC_POSITIONS crystal
Tb 0.000 0.000 0.000
Tm 0.000 0.500 0.500
Tm 0.500 0.000 0.000
Tm 0.500 0.500 0.000
Tm 0.000 0.000 0.500
Tm 0.000 0.500 0.000
Tm 0.500 0.000 0.500
Te 0.750 0.750 0.750
Te 0.250 0.250 0.250
Te 0.742 0.258 0.258
Te 0.258 0.742 0.742
Te 0.258 0.258 0.742
Te 0.742 0.742 0.258
Te 0.742 0.258 0.742
Te 0.258 0.742 0.258
! - Fermi-level density of states: 6.56 states/eV/f.u.
! - Formation energy (no corrections): -1.29 eV per atom
! - E: -75.92 eV for the cell shown

***

3.
! Er3Tm6Pb (PBE-GGA, optimized geometry); values from VASP
&SYSTEM
  ibrav = 0, nat = 20, ntyp = 3
/
ATOMIC_SPECIES
Er 167.26 Er.upf
Tm 168.93 Tm.upf
Pb 207.20 Pb.upf
CELL_PARAMETERS angstrom
-2.687 1.750 -1.331
-6.609 -2.225 10.411
6.212 12.132 3.407
ATOMIC_POSITIONS crystal
Er 0.750 0.423 0.903
Er 0.250 0.577 0.097
Er 0.750 0.628 0.502
Er 0.250 0.372 0.498
Er 0.750 0.076 0.100
Er 0.250 0.924 0.900
Tm 0.750 0.490 0.691
Tm 0.250 0.510 0.309
Tm 0.750 0.807 0.075
Tm 0.250 0.193 0.925
Tm 0.750 0.343 0.118
Tm 0.250 0.657 0.882
Tm 0.750 0.750 0.307
Tm 0.250 0.250 0.693
Tm 0.750 0.116 0.469
Tm 0.250 0.884 0.531
Tm 0.750 0.771 0.715
Tm 0.250 0.229 0.285
Pb 0.750 0.032 0.724
Pb 0.250 0.968 0.276
! - E above lowest polymorph: 0.000 eV per atom
! - Fermi-level density of states: 13.25 states/eV/f.u.
! - ΔE_f: -17.0 meV per atom
! - E: -88.79 eV for the cell shown

***

4.
! CrN2 (PBE-GGA, optimized geometry); values from VASP
&SYSTEM
  ibrav = 0, nat = 6, ntyp = 2
/
ATOMIC_SPECIES
Cr 52.00 Cr.upf
N 14.01 N.upf
CELL_PARAMETERS angstrom
3.783 -2.325 3.475
-1.538 -1.583 5.188
-0.349 -5.478 1.289
ATOMIC_POSITIONS crystal
Cr 0.750 0.750 0.750
Cr 0.500 0.500 0.500
N 0.125 0.625 0.625
N 0.625 0.625 0.125
N 0.625 0.125 0.625
N 0.625 0.625 0.625
! - Fermi-level density of states: 0.72 states/eV/f.u.
! - Formation energy (no corrections): 0.11 eV per atom
! - E: -51.89 eV for the cell shown

***

5.
! PmDyBe2 (PBE-GGA, optimized geometry); values from VASP
&SYSTEM
  ibrav = 0, nat = 4, ntyp = 3
/
ATOMIC_SPECIES
Be 9.01 Be.upf
Pm 145.00 Pm.upf
Dy 162.50 Dy.upf
CELL_PARAMETERS angstrom
-3.848 -2.347 -1.873
0.676 -3.840 -2.936
-1.116 -4.489 1.557
ATOMIC_POSITIONS crystal
Be 0.250 0.250 0.250
Be 0.750 0.750 0.750
Pm 0.500 0.500 0.500
Dy 0.000 0.000 0.000
! - Fermi-level density of states: 4.41 states/eV/f.u.
! - ΔE_f: 148.1 meV per atom
! - E: -16.21 eV for the cell shown

***

6.
! SrSiP2 (PBE-GGA, optimized geometry); values from VASP
&SYSTEM
  ibrav = 0, nat = 4, ntyp = 3
/
ATOMIC_SPECIES
P 30.97 P.upf
Si 28.09 Si.upf
Sr 87.62 Sr.upf
CELL_PARAMETERS angstrom
4.520 0.000 0.000
0.000 4.517 0.000
0.000 0.000 3.912
ATOMIC_POSITIONS crystal
P 0.000 0.000 0.000
P 0.500 0.500 0.000
Si 0.500 0.000 0.500
Sr 0.000 0.500 0.500
! - Fermi-level density of states: 2.23 states/eV/f.u.
! - Formation energy (no corrections): 0.05 eV per atom
! - E: -17.71 eV for the cell shown

***

7.
! K3PaTe2O8 (PBE-GGA, optimized geometry); values from VASP
&SYSTEM
  ibrav = 0, nat = 14, ntyp = 4
/
ATOMIC_SPECIES
K 39.10 K.upf
Pa 231.04 Pa.upf
Te 127.60 Te.upf
O 16.00 O.upf
CELL_PARAMETERS angstrom
-3.279 -4.762 -3.153
0.390 -0.067 6.573
-6.562 4.232 0.433
ATOMIC_POSITIONS crystal
K 0.333 0.667 0.779
K 0.667 0.333 0.221
K 0.000 0.000 0.000
Pa 0.000 0.000 0.500
Te 0.333 0.667 0.326
Te 0.667 0.333 0.674
O 0.333 0.667 0.090
O 0.667 0.333 0.910
O 0.152 0.848 0.329
O 0.848 0.152 0.671
O 0.152 0.304 0.329
O 0.848 0.696 0.671
O 0.696 0.848 0.329
O 0.304 0.152 0.671
! - Fermi-level density of states: 0.00 states/eV/f.u.
! - Formation energy (no corrections): -1.86 eV per atom
! - E: -84.83 eV for the cell shown

***

8.
! YZrSCl2 (PBE-GGA, optimized geometry); values from VASP
&SYSTEM
  ibrav = 0, nat = 5, ntyp = 4
/
ATOMIC_SPECIES
Y 88.91 Y.upf
S 32.06 S.upf
Zr 91.22 Zr.upf
Cl 35.45 Cl.upf
CELL_PARAMETERS angstrom
-4.761 -0.957 0.984
1.110 -0.592 4.793
-0.826 4.933 0.800
ATOMIC_POSITIONS crystal
Y 0.500 0.500 0.500
S 0.000 0.000 0.500
Zr 0.000 0.000 0.000
Cl 0.000 0.500 0.000
Cl 0.500 0.000 0.000
! - E above lowest polymorph: 0.000 eV per atom
! - Fermi-level density of states: 4.57 states/eV/f.u.
! - Formation energy (no corrections): -0.89 eV per atom
! - E: -27.31 eV for the cell shown

***

9.
! TbSbSe2O (PBE-GGA, optimized geometry); values from VASP
&SYSTEM
  ibrav = 0, nat = 10, ntyp = 4
/
ATOMIC_SPECIES
Tb 158.93 Tb.upf
Sb 121.76 Sb.upf
Se 78.96 Se.upf
O 16.00 O.upf
CELL_PARAMETERS angstrom
-0.386 -3.966 -0.056
3.650 -0.377 1.555
-5.700 0.365 13.468
ATOMIC_POSITIONS crystal
Tb 0.500 0.000 0.576
Tb 0.000 0.500 0.424
Sb 0.500 0.000 0.140
Sb 0.000 0.500 0.860
Se 0.000 0.500 0.684
Se 0.000 0.500 0.108
Se 0.500 0.000 0.892
Se 0.500 0.000 0.316
O 0.000 0.000 0.500
O 0.500 0.500 0.500
! - Formation energy (no corrections): -1.66 eV per atom
! - E: -57.98 eV for the cell shown

***

10.
! LiTiSbI2 (PBE-GGA, optimized geometry); values from VASP
&SYSTEM
  ibrav = 0, nat = 5, ntyp = 4
/
ATOMIC_SPECIES
I 126.90 I.upf
Sb 121.76 Sb.upf
Li 6.94 Li.upf
Ti 47.87 Ti.upf
CELL_PARAMETERS angstrom
-1.110 3.116 -4.610
-3.152 -4.226 -2.097
-4.324 2.029 2.412
ATOMIC_POSITIONS crystal
I 0.000 0.500 0.000
I 0.500 0.000 0.000
Sb 0.000 0.000 0.500
Li 0.500 0.500 0.500
Ti 0.000 0.000 0.000
! - E above lowest polymorph: 0.000 eV per atom
! - Fermi-level density of states: 2.98 states/eV/f.u.
! - Formation energy (no corrections): -0.21 eV per atom
! - E: -18.06 eV for the cell shown

***

11.
! TbNdDy2Er5 (PBE-GGA, optimized geometry); values from VASP
&SYSTEM
  ibrav = 0, nat = 18, ntyp = 4
/
ATOMIC_SPECIES
Tb 158.93 Tb.upf
Nd 144.24 Nd.upf
Dy 162.50 Dy.upf
Er 167.26 Er.upf
CELL_PARAMETERS angstrom
8.878 0.000 0.000
0.000 8.878 0.000
-4.439 -4.439 7.321
ATOMIC_POSITIONS crystal
Tb 0.250 0.750 0.500
Tb 0.750 0.250 0.500
Nd 0.250 0.250 0.500
Nd 0.750 0.750 0.500
Dy 0.113 0.387 0.000
Dy 0.613 0.113 0.000
Dy 0.387 0.887 0.000
Dy 0.887 0.613 0.000
Er 0.927 0.427 0.264
Er 0.663 0.163 0.736
Er 0.073 0.573 0.736
Er 0.163 0.073 0.736
Er 0.573 0.663 0.736
Er 0.837 0.927 0.264
Er 0.427 0.337 0.264
Er 0.337 0.837 0.264
Er 0.500 0.500 0.000
Er 0.000 0.000 0.000
! - Fermi-level density of states: 11.11 states/eV/f.u.
! - ΔE_f: 287.2 meV per atom
! - E: -77.66 eV for the cell shown

***

12.
! BAs (PBE-GGA, optimized geometry); values from VASP
&SYSTEM
  ibrav = 0, nat = 12, ntyp = 2
/
ATOMIC_SPECIES
B 10.81 B.upf
As 74.92 As.upf
CELL_PARAMETERS angstrom
3.410 0.000 0.000
0.000 5.163 0.000
0.000 0.000 10.514
ATOMIC_POSITIONS crystal
B 0.000 0.891 0.646
B 0.500 0.109 0.854
B 0.500 0.109 0.146
B 0.000 0.891 0.354
B 0.000 0.603 0.000
B 0.500 0.397 0.500
As 0.000 0.873 0.851
As 0.500 0.127 0.649
As 0.500 0.127 0.351
As 0.000 0.873 0.149
As 0.000 0.625 0.500
As 0.500 0.375 0.000
! - ΔE_f: 181.5 meV per atom
! - E: -65.78 eV for the cell shown

***

Question: What is the formula in the ninth record?
Answer: TbSbSe2O

***

Question: Which value of E does entry 6 give?
Answer: -17.71 eV for the cell shown